Record 1
## NaLiGaCu (PBE-GGA)

Data for a relaxed NaLiGaCu crystal.

Cell lengths 4.533, 4.533, 4.533 Å; angles 60.00, 60.00, 60.00 degrees
Element x y z (fractional)
Na 0.000 0.000 0.000
Li 0.750 0.750 0.750
Ga 0.500 0.500 0.500
Cu 0.250 0.250 0.250

---

Record 2
## NaLi2GaCu (PBE-GGA)

Data for a relaxed NaLi2GaCu crystal.

Cell lengths 4.847, 4.847, 4.598 Å; angles 90.00, 90.00, 90.00 degrees
Element x y z (fractional)
Na 0.000 0.000 0.000
Li 0.000 0.500 0.500
Li 0.500 0.000 0.500
Ga 0.500 0.500 0.000
Cu 0.500 0.500 0.500

---

Record 3
## Li3Nd2GaCu12 (PBE-GGA)

Data for a relaxed Li3Nd2GaCu12 crystal.

Cell lengths 6.543, 6.543, 6.543 Å; angles 83.44, 83.44, 83.44 degrees
Element x y z (fractional)
Li 0.000 0.500 0.500
Li 0.500 0.000 0.500
Li 0.500 0.500 0.000
Nd 0.224 0.224 0.224
Nd 0.776 0.776 0.776
Ga 0.500 0.500 0.500
Cu 0.072 0.072 0.655
Cu 0.072 0.655 0.072
Cu 0.237 0.701 0.701
Cu 0.299 0.299 0.763
Cu 0.299 0.763 0.299
Cu 0.345 0.928 0.928
Cu 0.655 0.072 0.072
Cu 0.701 0.237 0.701
Cu 0.701 0.701 0.237
Cu 0.763 0.299 0.299
Cu 0.928 0.345 0.928
Cu 0.928 0.928 0.345

---

Record 4
## LiNd2GaCu6 (PBE-GGA)

Data for a relaxed LiNd2GaCu6 crystal.

Cell lengths 6.519, 6.519, 8.443 Å; angles 130.21, 130.21, 45.36 degrees
Element x y z (fractional)
Li 0.000 0.000 0.000
Nd 0.243 0.243 0.784
Nd 0.757 0.757 0.216
Ga 0.500 0.500 0.500
Cu 0.240 0.739 0.740
Cu 0.248 0.248 0.427
Cu 0.261 0.760 0.260
Cu 0.739 0.240 0.740
Cu 0.752 0.752 0.573
Cu 0.760 0.261 0.260

---

Record 5
## LiNdGaCu (PBE-GGA)

Data for a relaxed LiNdGaCu crystal.

Cell lengths 4.687, 4.687, 4.687 Å; angles 60.00, 60.00, 60.00 degrees
Element x y z (fractional)
Li 0.000 0.000 0.000
Nd 0.750 0.750 0.750
Ga 0.250 0.250 0.250
Cu 0.500 0.500 0.500

---

Record 6
## LiNdGa4Cu2 (PBE-GGA)

Data for a relaxed LiNdGa4Cu2 crystal.

Cell lengths 9.139, 9.139, 9.139 Å; angles 26.78, 26.78, 26.78 degrees
Element x y z (fractional)
Li 0.000 0.000 0.000
Nd 0.500 0.500 0.500
Ga 0.098 0.098 0.098
Ga 0.373 0.373 0.373
Ga 0.627 0.627 0.627
Ga 0.902 0.902 0.902
Cu 0.270 0.270 0.270
Cu 0.730 0.730 0.730

---

Record 7
## LiNdGa2Cu (PBE-GGA)

Data for a relaxed LiNdGa2Cu crystal.

Cell lengths 5.864, 5.864, 5.864 Å; angles 136.67, 136.67, 62.94 degrees
Element x y z (fractional)
Li 0.000 0.000 0.000
Nd 0.250 0.750 0.500
Ga 0.626 0.126 0.500
Ga 0.874 0.374 0.500
Cu 0.500 0.500 0.000

---

Record 8
## LiGa4CuNi2 (PBE-GGA)

Data for a relaxed LiGa4CuNi2 crystal.

Cell lengths 7.245, 7.245, 7.245 Å; angles 33.66, 33.66, 33.66 degrees
Element x y z (fractional)
Li 0.000 0.000 0.000
Ga 0.124 0.124 0.124
Ga 0.375 0.375 0.375
Ga 0.625 0.625 0.625
Ga 0.876 0.876 0.876
Cu 0.500 0.500 0.500
Ni 0.251 0.251 0.251
Ni 0.749 0.749 0.749

---

Number 1: size of the total moment 0.00 μB/cell, ΔH_f (0 K) -11 meV/atom. Number 2: size of the total moment 0.00 μB/cell, ΔH_f (0 K) 2 meV/atom. Number 3: size of the total moment 0.00 μB/cell, ΔH_f (0 K) 20 meV/atom. Number 4: size of the total moment 0.00 μB/cell, ΔH_f (0 K) -113 meV/atom. Number 5: size of the total moment 0.00 μB/cell, ΔH_f (0 K) -335 meV/atom. Number 6: size of the total moment 0.00 μB/cell, ΔH_f (0 K) -346 meV/atom. Number 7: size of the total moment 0.00 μB/cell, ΔH_f (0 K) -403 meV/atom. Number 8: size of the total moment 0.00 μB/cell, ΔH_f (0 K) -272 meV/atom.